DFT (GGA+U) results for a geometry-optimized PbWN2O structure.

## Properties
SG ... P4/mmm, No. 123
Raw total energy ... -24.7 eV/cell
Density of states at the Fermi level ... 2.73 states/eV per cell
Size of the total moment ... 2.239 Bohr magnetons per cell

Cell: 4.294 4.294 4.113 Å, 90.00 90.00 90.00°
Fractional coordinates of all 5 atoms:
Pb1 0.000 0.000 0.000
O1 0.000 0.000 0.500
W1 0.500 0.500 0.500
N1 0.000 0.500 0.000
N2 0.500 0.000 0.000